(1)
# P3Os2 | Alexandria | PBE-GGA | relaxed
data_P3Os2
_chemical_formula_sum 'P9 Os6'
_space_group_name_H-M_alt 'R -3 m'
_space_group_IT_number 166
_space_group_name_Hall '-R 3 2"'
_cell_length_a 3.0068
_cell_length_b 3.0068
_cell_length_c 26.7235
_cell_angle_alpha 90.00
_cell_angle_beta 90.00
_cell_angle_gamma 120.00
loop_
_atom_site_label
_atom_site_fract_x
_atom_site_fract_y
_atom_site_fract_z
_atom_site_occupancy
P1 0.0000 0.0000 0.0000 1
P2 0.0000 0.0000 0.2022 1
Os1 0.0000 0.0000 0.4047 1
# E = -7.71 eV/atom
# volume = 13.95 A^3/atom
# Fermi-level density of states = 2.37 states/eV/f.u.
# total magnetization = 0.00 μB/f.u.


(2)
# P5Os3 | Alexandria | PBE-GGA | relaxed
data_P5Os3
_chemical_formula_sum 'P10 Os6'
_space_group_name_H-M_alt 'P 63/m c m'
_space_group_IT_number 193
_space_group_name_Hall '-P 6c 2'
_cell_length_a 7.5558
_cell_length_b 7.5558
_cell_length_c 4.6725
_cell_angle_alpha 90.00
_cell_angle_beta 90.00
_cell_angle_gamma 120.00
loop_
_atom_site_label
_atom_site_fract_x
_atom_site_fract_y
_atom_site_fract_z
_atom_site_occupancy
P1 0.0000 0.2712 0.2500 1
P2 0.3333 0.6667 0.0000 1
Os1 0.0000 0.3677 0.7500 1
# E = -7.23 eV/atom
# volume = 14.44 A^3/atom
# energy above the most stable polymorph in this dataset = 148 kJ/mol of formula units
# Fermi-level density of states = 7.30 states/eV/f.u.
# total magnetization = 0.00 μB/f.u.


(3)
# P3Os | Alexandria | PBE-GGA | relaxed
data_P3Os
_chemical_formula_sum 'P9 Os3'
_space_group_name_H-M_alt 'R -3 m'
_space_group_IT_number 166
_space_group_name_Hall '-R 3 2"'
_cell_length_a 3.1711
_cell_length_b 3.1711
_cell_length_c 19.1635
_cell_angle_alpha 90.00
_cell_angle_beta 90.00
_cell_angle_gamma 120.00
loop_
_atom_site_label
_atom_site_fract_x
_atom_site_fract_y
_atom_site_fract_z
_atom_site_occupancy
P1 0.0000 0.0000 0.0000 1
P2 0.0000 0.0000 0.2553 1
Os1 0.0000 0.0000 0.5000 1
# E = -6.69 eV/atom
# volume = 13.91 A^3/atom
# energy above the most stable polymorph in this dataset = 103 kJ/mol of formula units
# Fermi-level density of states = 2.71 states/eV/f.u.
# total magnetization = 0.00 μB/f.u.


(4)
# POs3 | Alexandria | PBE-GGA | relaxed
data_POs3
_chemical_formula_sum 'P3 Os9'
_space_group_name_H-M_alt 'R -3 m'
_space_group_IT_number 166
_space_group_name_Hall '-R 3 2"'
_cell_length_a 2.7924
_cell_length_b 2.7924
_cell_length_c 24.4511
_cell_angle_alpha 90.00
_cell_angle_beta 90.00
_cell_angle_gamma 120.00
loop_
_atom_site_label
_atom_site_fract_x
_atom_site_fract_y
_atom_site_fract_z
_atom_site_occupancy
P1 0.0000 0.0000 0.0000 1
Os1 0.0000 0.0000 0.2574 1
Os2 0.0000 0.0000 0.5000 1
# E = -9.63 eV/atom
# volume = 13.76 A^3/atom
# energy above the most stable polymorph in this dataset = 12 kJ/mol of formula units
# Fermi-level density of states = 3.88 states/eV/f.u.
# total magnetization = 0.00 μB/f.u.


(5)
# P3Os2 | Alexandria | PBE-GGA | relaxed
data_P3Os2
_chemical_formula_sum 'P24 Os16'
_space_group_name_H-M_alt 'F d d 2'
_space_group_IT_number 43
_space_group_name_Hall 'F 2 -2d'
_cell_length_a 10.951
_cell_length_b 12.808
_cell_length_c 4.154
_cell_angle_alpha 90.00
_cell_angle_beta 90.00
_cell_angle_gamma 90.00
loop_
_atom_site_label
_atom_site_fract_x
_atom_site_fract_y
_atom_site_fract_z
_atom_site_occupancy
P1 0.000 0.000 0.000 1
P2 0.119 0.193 0.812 1
Os1 0.008 0.164 0.291 1
# E = -7.70 eV/atom
# volume = 14.57 A^3/atom
# Fermi-level density of states = 1.39 states/eV/f.u.
# total magnetization = 0.00 μB/f.u.


(6)
# POs3 | Alexandria | PBE-GGA | relaxed
data_POs3
_chemical_formula_sum 'P1 Os3'
_space_group_name_H-M_alt 'P m m 2'
_space_group_IT_number 25
_space_group_name_Hall 'P 2 -2'
_cell_length_a 2.780
_cell_length_b 3.900
_cell_length_c 5.559
_cell_angle_alpha 90.00
_cell_angle_beta 90.00
_cell_angle_gamma 90.00
loop_
_atom_site_label
_atom_site_fract_x
_atom_site_fract_y
_atom_site_fract_z
_atom_site_occupancy
P1 0.000 0.000 0.000 1
Os1 0.000 0.500 0.543 1
Os2 0.500 0.000 0.347 1
Os3 0.500 0.500 0.946 1
# E = -9.46 eV/atom
# volume = 15.07 A^3/atom
# energy above the most stable polymorph in this dataset = 80 kJ/mol of formula units
# Fermi-level density of states = 1.54 states/eV/f.u.
# total magnetization = 0.00 μB/f.u.